Record 1
Computed, not measured: a geometry-optimized SrMnPt2 structure at the GGA-PBE level of DFT.

Cell lengths 4.389, 4.389, 6.045 Å; angles 69.03, 69.03, 59.96 degrees
Fractional positions:
Mn (0.681, 0.681, 0.959)
Pt (0.029, 0.029, 0.914)
Pt (0.299, 0.299, 0.105)
Sr (0.491, 0.491, 0.522)

Computed properties:
Fermi-level density of states = 3.00 states/eV per cell
SG = Cm
E_form = -0.41 eV per atom

Record 2
Computed, not measured: a geometry-optimized ReRhC3 structure at the GGA-PBE level of DFT.

Cell lengths 3.897, 3.897, 3.897 Å; angles 90.00, 90.00, 90.00 degrees
Fractional positions:
Re (0.500, 0.500, 0.500)
C (0.000, 0.500, 0.000)
C (0.000, 0.000, 0.500)
C (0.500, 0.000, 0.000)
Rh (0.000, 0.000, 0.000)

Computed properties:
offset from the most stable computed form = 19.56 kcal/mol of atoms
Fermi-level density of states = 6.80 states/eV per cell
SG = Pm-3m
E_form = 2.82 eV per atom

Record 3
Computed, not measured: a geometry-optimized SrTaGa2Si structure at the GGA-PBE level of DFT.

Cell lengths 5.404, 5.287, 5.404 Å; angles 90.00, 90.00, 90.00 degrees
Fractional positions:
Sr (0.000, 0.000, 0.000)
Si (0.500, 0.500, 0.500)
Ga (0.000, 0.000, 0.500)
Ga (0.500, 0.000, 0.000)
Ta (0.000, 0.500, 0.000)

Computed properties:
offset from the most stable computed form = 24.90 kcal/mol of atoms
Fermi-level density of states = 5.85 states/eV per cell
E_form (uncorrected) = 2.136 eV per atom
SG = P4/mmm

Record 4
Computed, not measured: a geometry-optimized TcPBr2 structure at the GGA-PBE level of DFT.

Cell lengths 9.390, 9.390, 7.013 Å; angles 47.97, 47.97, 90.00 degrees
Fractional positions:
P (0.500, 0.500, 0.000)
P (0.250, 0.750, 0.500)
Tc (0.000, 0.000, 0.000)
Tc (0.750, 0.250, 0.500)
Br (0.769, 0.125, 0.250)
Br (0.981, 0.625, 0.250)
Br (0.375, 0.231, 0.750)
Br (0.875, 0.019, 0.750)

Computed properties:
offset from the most stable computed form = 6.60 kcal/mol of atoms
Fermi-level density of states = 1.96 states/eV per cell
E_form (uncorrected) = 0.111 eV per atom
SG = I-42d

Record 5
Computed, not measured: a geometry-optimized Ni4Rh structure at the GGA-PBE level of DFT.

Cell lengths 8.996, 2.578, 2.578 Å; angles 90.00, 98.24, 98.24 degrees
Fractional positions:
Ni (0.012, 0.006, 0.006)
Ni (0.205, 0.602, 0.602)
Ni (0.395, 0.198, 0.198)
Ni (0.588, 0.794, 0.794)
Rh (0.800, 0.400, 0.400)

Computed properties:
offset from the most stable computed form = 0.78 kcal/mol of atoms
Fermi-level density of states = 8.33 states/eV per cell
SG = I4/mmm
E_form = 0.04 eV per atom

Record 6
Computed, not measured: a geometry-optimized LiNd2Au2 structure at the GGA-PBE level of DFT.

Cell lengths 5.918, 7.481, 7.627 Å; angles 119.37, 112.83, 90.00 degrees
Fractional positions:
Li (0.750, 0.500, 0.000)
Li (0.250, 0.500, 0.000)
Nd (0.844, 0.675, 0.689)
Nd (0.156, 0.325, 0.311)
Nd (0.656, 0.986, 0.311)
Nd (0.344, 0.014, 0.689)
Au (0.400, 0.664, 0.799)
Au (0.600, 0.336, 0.201)
Au (0.100, 0.865, 0.201)
Au (0.900, 0.135, 0.799)

Computed properties:
offset from the most stable computed form = 1.82 kcal/mol of atoms
Fermi-level density of states = 8.79 states/eV per cell
SG = Ibam
E_form = -0.56 eV per atom

Record 7
Computed, not measured: a geometry-optimized GdNiBiRh structure at the GGA-PBE level of DFT.

Cell lengths 4.791, 4.791, 4.791 Å; angles 60.00, 60.00, 60.00 degrees
Fractional positions:
Ni (0.250, 0.250, 0.250)
Gd (0.000, 0.000, 0.000)
Rh (0.750, 0.750, 0.750)
Bi (0.500, 0.500, 0.500)

Computed properties:
Fermi-level density of states = 3.26 states/eV per cell
SG = F-43m
E_form = -0.38 eV per atom

Record 8
Computed, not measured: a geometry-optimized Ac2TbGe2 structure at the GGA-PBE level of DFT.

Cell lengths 4.739, 7.982, 7.982 Å; angles 90.00, 90.00, 90.00 degrees
Fractional positions:
Ac (0.500, 0.176, 0.676)
Ac (0.500, 0.676, 0.824)
Ac (0.500, 0.824, 0.324)
Ac (0.500, 0.324, 0.176)
Tb (0.000, 0.000, 0.000)
Tb (0.000, 0.500, 0.500)
Ge (0.000, 0.379, 0.879)
Ge (0.000, 0.879, 0.621)
Ge (0.000, 0.621, 0.121)
Ge (0.000, 0.121, 0.379)

Computed properties:
offset from the most stable computed form = 0.00 kcal/mol of atoms
Fermi-level density of states = 9.52 states/eV per cell
SG = P4/mbm
E_form = -0.69 eV per atom

> Which formula does entry 2 have?

ReRhC3